Below is a geometry-optimized Cu7Ag3 structure, with properties calculated at the PBE level.

Properties
Calculated density in g/cm³: 9.27
Energy above the most stable polymorph in this dataset in meV per atom: 45
Raw total energy in eV/cell: -33.6
Crystal system: triclinic
Formation energy in eV/atom: 0.089

Cell and atoms, written as POSCAR:
```
Cu7Ag3
1.0
-3.309 -2.449 2.177
3.591 -0.877 2.860
-1.188 6.917 1.035
Cu Ag
7 3
Direct
0.996 0.503 0.490
0.187 0.595 0.198
0.804 0.406 0.808
0.622 0.309 0.108
0.601 0.790 0.597
0.800 0.886 0.298
0.992 0.010 0.001
0.407 0.197 0.393
0.404 0.707 0.910
0.187 0.098 0.697
```